[1]
Computed, not measured: a relaxed RbAgBi2Br8 crystal at the PBE level of DFT.

Values from the calculation:
For the energy, the calculation gives -2.90 eV/atom. Its energy relative to the elements, uncorrected is -79 kJ per mole of atoms. Its space-group type is No. 2. For the calculated density, the calculation gives 4.0 Mg/m³. The crystal system is triclinic.

```
RbAgBi2Br8
1.0
7.571 0.000 0.000
3.389 7.839 0.000
0.175 0.906 8.653
Rb Ag Bi Br
1 1 2 8
direct
0.000 0.000 0.000
0.000 0.000 0.500
0.019 0.487 0.257
0.981 0.513 0.743
0.187 0.758 0.703
0.235 0.291 0.994
0.237 0.284 0.541
0.259 0.656 0.245
0.741 0.344 0.755
0.763 0.716 0.459
0.765 0.709 0.006
0.813 0.242 0.297
```

[2]
Computed, not measured: a relaxed Rb3Ag2BiBr9 crystal at the PBE level of DFT.

Values from the calculation:
For the energy, the calculation gives -2.83 eV/atom. Its energy relative to the elements, uncorrected is -96 kJ per mole of atoms. Its space-group type is No. 164. For the calculated density, the calculation gives 4.4 Mg/m³. The crystal system is trigonal.

```
Rb3Ag2BiBr9
1.0
7.910 0.000 0.000
-3.955 6.850 0.000
0.000 0.000 9.810
Rb Ag Bi Br
3 2 1 9
direct
0.000 0.000 0.000
0.333 0.667 0.698
0.667 0.333 0.302
0.333 0.667 0.154
0.667 0.333 0.846
0.000 0.000 0.500
0.000 0.500 0.000
0.169 0.338 0.329
0.169 0.831 0.329
0.338 0.169 0.671
0.500 0.000 0.000
0.500 0.500 0.000
0.662 0.831 0.329
0.831 0.169 0.671
0.831 0.662 0.671
```

[3]
Computed, not measured: a relaxed AgBiRu2Br crystal at the PBE level of DFT.

Values from the calculation:
For the energy, the calculation gives -3.77 eV/atom. Its energy relative to the elements, uncorrected is 157 kJ per mole of atoms. Its space-group type is No. 123. For the calculated density, the calculation gives 7.8 Mg/m³. The crystal system is tetragonal.

```
AgBiRu2Br
1.0
5.093 0.000 0.000
0.000 5.093 0.000
0.000 0.000 4.899
Ag Bi Ru Br
1 1 2 1
direct
0.000 0.000 0.000
0.500 0.500 0.500
0.000 0.500 0.000
0.500 0.000 0.000
0.000 0.000 0.500
```

[4]
Computed, not measured: a relaxed Ag2BiS2Br crystal at the PBE level of DFT.

Values from the calculation:
For the energy, the calculation gives -3.44 eV/atom. Its energy relative to the elements, uncorrected is -18 kJ per mole of atoms. Its space-group type is No. 11. For the calculated density, the calculation gives 5.7 Mg/m³. The crystal system is monoclinic.

```
Ag2BiS2Br
1.0
4.116 0.000 0.000
0.000 7.239 0.000
-0.030 0.000 11.154
Ag Bi S Br
4 2 4 2
direct
0.240 0.250 0.203
0.250 0.750 0.183
0.750 0.250 0.817
0.760 0.750 0.797
0.250 0.250 0.550
0.750 0.750 0.450
0.248 0.514 0.356
0.248 0.986 0.356
0.752 0.014 0.644
0.752 0.486 0.644
0.259 0.750 0.954
0.741 0.250 0.046
```

[5]
Computed, not measured: a relaxed AgBi2SbBr crystal at the PBE level of DFT.

Values from the calculation:
For the energy, the calculation gives -2.85 eV/atom. Its energy relative to the elements, uncorrected is 42 kJ per mole of atoms. Its space-group type is No. 123. For the calculated density, the calculation gives 7.6 Mg/m³. The crystal system is tetragonal.

```
AgBi2SbBr
1.0
5.629 0.000 0.000
0.000 5.629 0.000
0.000 0.000 5.039
Ag Bi Sb Br
1 2 1 1
direct
0.000 0.000 0.000
0.000 0.500 0.000
0.500 0.000 0.000
0.500 0.500 0.500
0.000 0.000 0.500
```

[6]
Computed, not measured: a relaxed AgBiSeBr2 crystal at the PBE level of DFT.

Values from the calculation:
As for the excess energy over the best structure of this formula in the dataset: 0.00 eV/f.u. For the energy, the calculation gives -2.67 eV/atom. Its energy relative to the elements, uncorrected is 4 kJ per mole of atoms. Its space-group type is No. 123. For the calculated density, the calculation gives 5.1 Mg/m³. The crystal system is tetragonal.

```
AgBiSeBr2
1.0
5.686 0.000 0.000
0.000 5.686 0.000
0.000 0.000 5.643
Ag Bi Se Br
1 1 1 2
direct
0.000 0.000 0.000
0.500 0.500 0.500
0.500 0.500 0.000
0.000 0.500 0.500
0.500 0.000 0.500
```

[7]
Computed, not measured: a relaxed AgBiSe2Br crystal at the PBE level of DFT.

Values from the calculation:
As for the excess energy over the best structure of this formula in the dataset: 0.00 eV/f.u. For the energy, the calculation gives -2.82 eV/atom. Its energy relative to the elements, uncorrected is 25 kJ per mole of atoms. Its space-group type is No. 123. For the calculated density, the calculation gives 6.8 Mg/m³. The crystal system is tetragonal.

```
AgBiSe2Br
1.0
5.185 0.000 0.000
0.000 5.185 0.000
0.000 0.000 5.011
Ag Bi Se Br
1 1 2 1
direct
0.000 0.000 0.000
0.500 0.500 0.500
0.000 0.500 0.000
0.500 0.000 0.000
0.000 0.000 0.500
```

[8]
Computed, not measured: a relaxed AgSnBiBr6 crystal at the PBE level of DFT.

Values from the calculation:
For the energy, the calculation gives -2.94 eV/atom. Its energy relative to the elements, uncorrected is -61 kJ per mole of atoms. Its space-group type is No. 102. For the calculated density, the calculation gives 4.8 Mg/m³. The crystal system is tetragonal.

```
AgSnBiBr6
1.0
6.957 0.000 0.000
0.000 6.957 0.000
0.000 0.000 13.036
Ag Sn Bi Br
2 2 2 12
direct
0.000 0.000 0.000
0.500 0.500 0.500
0.000 0.000 0.331
0.500 0.500 0.831
0.000 0.000 0.665
0.500 0.500 0.165
0.193 0.193 0.834
0.200 0.200 0.502
0.204 0.204 0.159
0.296 0.704 0.659
0.300 0.700 0.002
0.307 0.693 0.334
0.693 0.307 0.334
0.700 0.300 0.002
0.704 0.296 0.659
0.796 0.796 0.159
0.800 0.800 0.502
0.807 0.807 0.834
```

[9]
Computed, not measured: a relaxed SrAgBi2Br crystal at the PBE level of DFT.

Values from the calculation:
For the energy, the calculation gives -2.45 eV/atom. Its energy relative to the elements, uncorrected is 33 kJ per mole of atoms. Its space-group type is No. 123. For the calculated density, the calculation gives 4.9 Mg/m³. The crystal system is tetragonal.

```
SrAgBi2Br
1.0
6.418 0.000 0.000
0.000 6.418 0.000
0.000 0.000 5.687
Sr Ag Bi Br
1 1 2 1
direct
0.000 0.000 0.000
0.500 0.500 0.500
0.000 0.500 0.000
0.500 0.000 0.000
0.000 0.000 0.500
```

[10]
Computed, not measured: a relaxed TiAg2BiBr crystal at the PBE level of DFT.

Values from the calculation:
For the energy, the calculation gives -3.33 eV/atom. Its energy relative to the elements, uncorrected is 48 kJ per mole of atoms. Its space-group type is No. 123. For the calculated density, the calculation gives 6.8 Mg/m³. The crystal system is tetragonal.

```
TiAg2BiBr
1.0
5.343 0.000 0.000
0.000 5.343 0.000
0.000 0.000 4.718
Ti Ag Bi Br
1 2 1 1
direct
0.000 0.000 0.000
0.000 0.500 0.000
0.500 0.000 0.000
0.500 0.500 0.500
0.000 0.000 0.500
```

[11]
Computed, not measured: a relaxed TlAgBiBr2 crystal at the PBE level of DFT.

Values from the calculation:
For the energy, the calculation gives -2.37 eV/atom. Its energy relative to the elements, uncorrected is 11 kJ per mole of atoms. Its space-group type is No. 123. For the calculated density, the calculation gives 5.4 Mg/m³. The crystal system is tetragonal.

```
TlAgBiBr2
1.0
5.664 0.000 0.000
0.000 5.664 0.000
0.000 0.000 6.530
Tl Ag Bi Br
1 1 1 2
direct
0.000 0.000 0.000
0.500 0.500 0.000
0.000 0.000 0.500
0.000 0.500 0.500
0.500 0.000 0.500
```

[12]
Computed, not measured: a relaxed TlAg2BiBr6 crystal at the PBE level of DFT.

Values from the calculation:
For the energy, the calculation gives -2.79 eV/atom. Its energy relative to the elements, uncorrected is -57 kJ per mole of atoms. Its space-group type is No. 146. For the calculated density, the calculation gives 5.5 Mg/m³. The crystal system is trigonal.

```
TlAg2BiBr6
1.0
3.763 2.173 6.818
-3.763 2.173 6.818
0.000 -4.346 6.818
Tl Ag Bi Br
1 2 1 6
direct
0.000 0.000 0.000
0.286 0.286 0.286
0.809 0.809 0.809
0.481 0.481 0.481
0.071 0.646 0.459
0.210 0.553 0.894
0.459 0.071 0.646
0.553 0.894 0.210
0.646 0.459 0.071
0.894 0.210 0.553
```